Record 1
VASP calculation (PBE) on a relaxed structure of TaMo3.

Geometry as POSCAR:
```
TaMo3
1.0
-2.664 -0.532 0.608
9.945 -18.613 -6.359
1.296 1.026 2.240
Mo Ta
6 2
Cartesian
0.021 -0.077 0.023
1.251 -2.356 -0.786
2.486 -4.653 -1.590
2.354 -6.457 0.455
3.584 -8.735 -0.355
7.459 -13.960 -4.769
4.838 -11.102 -1.138
8.712 -16.324 -5.553
```

Computed properties:
As for the crystal system: orthorhombic. Its space group is Cmmm (65).



Record 2
VASP calculation (PBE) on a relaxed structure of ErNp2PaN4.

Geometry as POSCAR:
```
ErNp2PaN4
1.0
-3.291 0.957 0.433
-1.059 -1.010 -5.809
-1.050 -5.021 3.116
Er Np Pa N
1 2 1 4
Cartesian
-2.175 -0.026 -2.688
-2.170 -2.032 1.775
-1.054 -3.015 -1.347
0.000 0.000 0.000
-2.169 -1.008 -0.474
-3.231 -4.066 -1.786
-1.050 -4.015 0.890
-1.058 -2.016 -3.583
```

Computed properties:
The uncorrected formation energy comes out at -1381.2 meV per atom. As for the crystal system: monoclinic. Its space group is P2/m (10).



Record 3
VASP calculation (PBE) on a relaxed structure of CeAgSeO5.

Geometry as POSCAR:
```
CeAgSeO5
1.0
6.235 -0.230 -0.264
-2.040 5.896 -0.264
-2.044 -2.761 7.586
Ce Ag Se O
2 2 2 10
Cartesian
-1.022 -1.381 3.793
0.000 0.000 0.000
-0.203 3.468 1.633
2.354 -0.563 5.426
3.390 0.807 1.633
-1.240 2.098 5.426
-2.218 4.959 1.633
4.368 -2.054 5.426
4.840 1.546 0.596
-2.689 1.359 6.462
3.107 -0.795 2.669
-0.957 3.699 4.389
2.950 2.031 2.737
-0.799 0.873 4.322
2.091 0.871 0.529
0.060 2.034 6.530
```

Computed properties:
The uncorrected formation energy comes out at -1428.2 meV per atom. As for the crystal system: monoclinic. Its space group is C2/c (15).



Record 4
VASP calculation (PBE) on a relaxed structure of CsMgZnSb2.

Geometry as POSCAR:
```
CsMgZnSb2
1.0
4.389 0.000 0.000
0.000 4.389 0.000
-2.194 -2.194 8.649
Cs Mg Zn Sb
1 1 1 2
Cartesian
0.000 0.000 0.000
2.194 0.000 4.325
0.000 2.194 4.325
2.194 2.194 2.522
0.000 0.000 6.127
```

Computed properties:
The uncorrected formation energy comes out at -340.5 meV per atom. As for the crystal system: tetragonal. Its space group is I-4m2 (119).



Record 5
VASP calculation (PBE) on a relaxed structure of AcGdAs2.

Geometry as POSCAR:
```
AcGdAs2
1.0
3.743 0.000 0.000
0.000 5.315 0.000
0.000 0.000 5.315
Ac Gd As
1 1 2
Cartesian
1.872 2.658 2.658
1.872 0.000 0.000
0.000 0.000 2.658
0.000 2.658 0.000
```

Computed properties:
As for the crystal system: tetragonal. Its space group is P4/mmm (123). The energy above the most stable polymorph in this dataset comes out at 408 meV per atom.



Record 6
VASP calculation (PBE) on a relaxed structure of LaFe2Cu.

Geometry as POSCAR:
```
LaFe2Cu
1.0
-1.139 2.970 -2.355
-3.897 -0.928 0.714
-0.016 2.524 3.191
Cu Fe La
1 2 1
Cartesian
-0.578 2.747 0.418
0.000 0.000 0.000
-1.957 0.798 1.953
-2.518 1.021 -0.821
```

Computed properties:
As for the crystal system: tetragonal. Its space group is P4/mmm (123).



In eV/atom, the raw total energy values for the records above are, in order, -11.151 -10.536 -6.061 -2.734 -7.944 -6.063.
In states/eV per cell, the DOS at the Fermi energy values for the records above are, in order, 5.00 14.75 5.88 3.47 1.60 3.71.